Entry 1:
Below is a relaxed structure of Dy5Y8Sc, with properties calculated at the PBE level.

Lattice parameters (Å, degrees): 8.3956 8.3956 8.3956 110.90 110.90 106.65
Atoms (fractional coordinates):
Dy1 0.0300 0.7125 0.8959
Dy2 0.8659 0.9700 0.6825
Dy3 0.8167 0.1341 0.1041
Dy4 0.5000 0.5000 0.0000
Dy5 0.2875 0.1833 0.3175
Y1 0.1691 0.4351 0.0977
Y2 0.9286 0.8309 0.2660
Y3 0.7319 0.4775 0.3939
Y4 0.6621 0.2681 0.7457
Y5 0.5225 0.9164 0.2543
Y6 0.5649 0.6626 0.7340
Y7 0.3374 0.0714 0.9023
Y8 0.0836 0.3379 0.6061
Sc1 0.2500 0.7500 0.5000

Summary:
As for the symmetry: No. 82. The calculation puts the magnetization at 0.000 μB per formula unit. For the formation energy, the calculation gives 0.257 eV per atom.


Entry 2:
Below is a relaxed structure of KAgSb2I, with properties calculated at the PBE level.

Lattice parameters (Å, degrees): 6.1859 6.1859 6.2118 90.00 90.00 90.00
Atoms (fractional coordinates):
I1 0.0000 0.0000 0.5000
Sb1 0.0000 0.5000 0.0000
Sb2 0.5000 0.0000 0.0000
K1 0.0000 0.0000 0.0000
Ag1 0.5000 0.5000 0.5000

Summary:
As for the symmetry: No. 123. The distance to the lowest polymorph of the same formula comes out at 0.965 eV per atom. The calculation puts the magnetization at 2.290 μB per formula unit.


Entry 3:
Below is a relaxed structure of AlI2O2, with properties calculated at the PBE level.

Lattice parameters (Å, degrees): 4.1600 4.1600 8.0894 90.00 90.00 90.00
Atoms (fractional coordinates):
I1 0.0000 0.0000 0.0000
I2 0.0000 0.0000 0.5000
Al1 0.5000 0.5000 0.5000
O1 0.0000 0.5000 0.0000
O2 0.5000 0.0000 0.0000

Summary:
As for the symmetry: No. 123. The distance to the lowest polymorph of the same formula comes out at 0.527 eV per atom. The calculation puts the magnetization at 0.000 μB per formula unit.


Entry 4:
Below is a relaxed structure of Pr6Pd2O, with properties calculated at the PBE level.

Lattice parameters (Å, degrees): 6.6686 7.3295 10.1925 90.00 89.59 90.00
Atoms (fractional coordinates):
Pr1 0.1341 0.0285 0.2595
Pr2 0.1680 0.3113 0.5601
Pr3 0.1797 0.3260 0.9404
Pr4 0.3203 0.8260 0.5596
Pr5 0.3320 0.8113 0.9399
Pr6 0.3659 0.5285 0.2405
Pr7 0.8659 0.9715 0.7405
Pr8 0.8320 0.6887 0.4399
Pr9 0.8203 0.6740 0.0596
Pr10 0.6797 0.1740 0.4404
Pr11 0.6680 0.1887 0.0601
Pr12 0.6341 0.4715 0.7595
Pd1 0.0656 0.6085 0.7485
Pd2 0.4344 0.1085 0.7515
Pd3 0.5656 0.8915 0.2485
Pd4 0.9344 0.3915 0.2515
O1 0.5000 0.5000 0.0000
O2 0.0000 0.0000 0.5000

Summary:
As for the symmetry: No. 14. The uncorrected energy comes out at -0.2142 hartree per atom. The calculation puts the magnetization at 0.000 μB per formula unit.


Entry 5:
Below is a relaxed structure of CsNaBr2F8, with properties calculated at the PBE level.

Lattice parameters (Å, degrees): 5.6595 5.6595 9.2371 72.16 72.16 60.00
Atoms (fractional coordinates):
Cs1 0.0000 0.0000 0.0000
Na1 0.5000 0.5000 0.5000
Br1 0.7731 0.7731 0.6806
Br2 0.2269 0.2269 0.3194
F1 0.6904 0.6904 0.9288
F2 0.3096 0.3096 0.0712
F3 0.5860 0.2274 0.3260
F4 0.7726 0.4140 0.6740
F5 0.1395 0.7726 0.6740
F6 0.2274 0.8605 0.3260
F7 0.8605 0.5860 0.3260
F8 0.4140 0.1395 0.6740

Summary:
As for the symmetry: No. 155. The uncorrected energy comes out at -0.1050 hartree per atom. The calculation puts the magnetization at 4.099 μB per formula unit.


Entry 6:
Below is a relaxed structure of Ho12Er5Tm2, with properties calculated at the PBE level.

Lattice parameters (Å, degrees): 6.4119 11.5763 11.7543 114.04 81.16 131.51
Atoms (fractional coordinates):
Ho1 0.1664 0.1114 0.2681
Ho2 0.0371 0.7039 0.0760
Ho3 0.5989 0.6303 0.8696
Ho4 0.9864 0.6892 0.3589
Ho5 0.3336 0.5564 0.4593
Ho6 0.4102 0.9361 0.6378
Ho7 0.5898 0.0639 0.3622
Ho8 0.0136 0.3108 0.6411
Ho9 0.6664 0.4436 0.5407
Ho10 0.9629 0.2961 0.9240
Ho11 0.4011 0.3697 0.1304
Ho12 0.8336 0.8886 0.7319
Er1 0.1837 0.6724 0.7823
Er2 0.5141 0.7097 0.1980
Er3 0.0000 0.0000 0.5000
Er4 0.4859 0.2903 0.8020
Er5 0.8163 0.3276 0.2177
Tm1 0.7192 0.9838 0.0395
Tm2 0.2808 0.0162 0.9605

Summary:
As for the symmetry: No. 2. The distance to the lowest polymorph of the same formula comes out at 0.000 eV per atom. The calculation puts the magnetization at 0.000 μB per formula unit. For the formation energy, the calculation gives 0.090 eV per atom.


Entry 7:
Below is a relaxed structure of Pb3WC, with properties calculated at the PBE level.

Lattice parameters (Å, degrees): 4.8449 4.8449 4.8449 90.00 90.00 90.00
Atoms (fractional coordinates):
Pb1 0.0000 0.5000 0.0000
Pb2 0.0000 0.0000 0.5000
Pb3 0.5000 0.0000 0.0000
C1 0.0000 0.0000 0.0000
W1 0.5000 0.5000 0.5000

Summary:
As for the symmetry: No. 221. The distance to the lowest polymorph of the same formula comes out at 0.026 eV per atom. The calculation puts the magnetization at 0.000 μB per formula unit. For the formation energy, the calculation gives 1.856 eV per atom.


Entry 8:
Below is a relaxed structure of Sc6SnTe5, with properties calculated at the PBE level.

Lattice parameters (Å, degrees): 7.2332 7.2125 7.2125 60.00 80.44 70.60
Atoms (fractional coordinates):
Sc1 0.7578 0.0796 0.3242
Sc2 0.2422 0.5963 0.3242
Sc3 0.2456 0.2399 0.0000
Sc4 0.7544 0.7601 0.0000
Sc5 0.7578 0.4037 0.6758
Sc6 0.2422 0.9204 0.6758
Te1 0.5000 0.1703 0.6594
Te2 0.0000 0.3345 0.3310
Te3 0.5000 0.5000 0.0000
Te4 0.0000 0.6655 0.6690
Te5 0.5000 0.8297 0.3406
Sn1 0.0000 0.0000 0.0000

Summary:
As for the symmetry: No. 12. The uncorrected energy comes out at -0.2152 hartree per atom. The calculation puts the magnetization at 0.000 μB per formula unit.